# TlCdSnS3 GGA-PBE optimized geometry
# density = 4.93 g cm⁻³
# spin magnetization = 0.000 μB/atom
# ΔE_f (raw) = -0.3725 eV per atom
data_TlCdSnS3
_chemical_formula_sum 'Tl2 Cd2 Sn2 S6'
_cell_length_a 9.229
_cell_length_b 3.905
_cell_length_c 10.012
_cell_angle_alpha 90.00
_cell_angle_beta 96.90
_cell_angle_gamma 90.00
_space_group_name_H-M_alt 'P 1 21/m 1'
_space_group_IT_number 11
loop_
_space_group_symop_operation_xyz
'x,y,z'
'-x,-y,-z'
'-x,y+1/2,-z'
'x,-y+1/2,z'
loop_
_atom_site_label
_atom_site_type_symbol
_atom_site_fract_x
_atom_site_fract_y
_atom_site_fract_z
_atom_site_occupancy
Tl1 Tl 0.156 0.250 0.204 1
Cd1 Cd 0.114 0.250 0.596 1
Sn1 Sn 0.369 0.750 0.875 1
S1 S 0.166 0.250 0.852 1
S2 S 0.179 0.750 0.451 1
S3 S 0.415 0.750 0.132 1

# TlCdSn2S GGA-PBE optimized geometry
# density = 5.78 g cm⁻³
# spin magnetization = 0.000 μB/atom
# ΔE_f (raw) = 0.2454 eV per atom
data_TlCdSn2S
_chemical_formula_sum 'Tl1 Cd1 Sn2 S1'
_cell_length_a 5.358
_cell_length_b 5.358
_cell_length_c 5.867
_cell_angle_alpha 90.00
_cell_angle_beta 90.00
_cell_angle_gamma 90.00
_space_group_name_H-M_alt 'P 4/m m m'
_space_group_IT_number 123
_space_group_name_Hall '-P 4 2'
loop_
_atom_site_label
_atom_site_type_symbol
_atom_site_fract_x
_atom_site_fract_y
_atom_site_fract_z
_atom_site_occupancy
Tl1 Tl 0.000 0.000 0.000 1
Cd1 Cd 0.500 0.500 0.000 1
Sn1 Sn 0.000 0.500 0.500 1
S1 S 0.000 0.000 0.500 1